Record 1
Material: RbTlGaCl6
Method: DFT, PBE-GGA
State: relaxed

```
data_RbTlGaCl6
_chemical_formula_sum 'Rb1 Tl1 Ga1 Cl6'
_symmetry_space_group_name_H-M 'P 1'
_symmetry_Int_Tables_number 1
_symmetry_space_group_name_Hall 'P 1'
_cell_length_a 7.011
_cell_length_b 7.011
_cell_length_c 7.058
_cell_angle_alpha 90.00
_cell_angle_beta 90.00
_cell_angle_gamma 120.00
loop_
_atom_site_label
_atom_site_type_symbol
_atom_site_fract_x
_atom_site_fract_y
_atom_site_fract_z
Rb1 Rb 0.000 0.000 0.000
Tl1 Tl 0.333 0.667 0.500
Ga1 Ga 0.667 0.333 0.500
Cl1 Cl 0.397 0.050 0.703
Cl2 Cl 0.397 0.347 0.297
Cl3 Cl 0.653 0.050 0.297
Cl4 Cl 0.653 0.603 0.703
Cl5 Cl 0.950 0.347 0.703
Cl6 Cl 0.950 0.603 0.297
```

Calculated values
- SG = P312 (149)
- uncorrected energy (eV per atom) = -3.067
- V (Å³ per atom) = 33.38
- spin magnetization (μB/cell) = 0.0


Record 2
Material: Th4SbTe2As
Method: DFT, PBE-GGA
State: relaxed

```
data_Th4SbTe2As
_chemical_formula_sum 'Th4 Sb1 Te2 As1'
_symmetry_space_group_name_H-M 'P 1'
_symmetry_Int_Tables_number 1
_symmetry_space_group_name_Hall 'P 1'
_cell_length_a 7.660
_cell_length_b 4.424
_cell_length_c 7.706
_cell_angle_alpha 90.00
_cell_angle_beta 109.37
_cell_angle_gamma 90.00
loop_
_atom_site_label
_atom_site_type_symbol
_atom_site_fract_x
_atom_site_fract_y
_atom_site_fract_z
Th1 Th 0.226 0.000 0.225
Th2 Th 0.238 0.500 0.765
Th3 Th 0.762 0.500 0.235
Th4 Th 0.774 0.000 0.775
Sb1 Sb 0.500 0.000 0.000
Te1 Te 0.000 0.000 0.500
Te2 Te 0.500 0.500 0.500
As1 As 0.000 0.500 0.000
```

Calculated values
- SG = P2/m (10)
- uncorrected energy (eV per atom) = -6.691
- V (Å³ per atom) = 30.79
- spin magnetization (μB/cell) = 0.0


Record 3
Material: Pt3Rh2W
Method: DFT, PBE-GGA
State: relaxed

```
data_Pt3Rh2W
_chemical_formula_sum 'Pt6 Rh4 W2'
_symmetry_space_group_name_H-M 'P 1'
_symmetry_Int_Tables_number 1
_symmetry_space_group_name_Hall 'P 1'
_cell_length_a 8.645
_cell_length_b 9.432
_cell_length_c 2.714
_cell_angle_alpha 90.00
_cell_angle_beta 90.00
_cell_angle_gamma 90.00
loop_
_atom_site_label
_atom_site_type_symbol
_atom_site_fract_x
_atom_site_fract_y
_atom_site_fract_z
Pt1 Pt 0.000 0.000 0.000
Pt2 Pt 0.027 0.255 0.500
Pt3 Pt 0.473 0.755 0.000
Pt4 Pt 0.500 0.500 0.500
Pt5 Pt 0.527 0.245 0.000
Pt6 Pt 0.973 0.745 0.500
Rh1 Rh 0.245 0.899 0.500
Rh2 Rh 0.255 0.399 0.000
Rh3 Rh 0.745 0.601 0.000
Rh4 Rh 0.755 0.101 0.500
W1 W 0.000 0.500 0.000
W2 W 0.500 0.000 0.500
```

Calculated values
- SG = Pnnm (58)
- energy of formation from the pure elements (eV/atom) = 0.287
- uncorrected energy (eV per atom) = -7.343
- V (Å³ per atom) = 18.44
- energy above the lowest structure with this stoichiometry (meV per atom) = 331
- spin magnetization (μB/cell) = 0.0